a) # Al2GeRu2, optimized geometry, DFT GGA-PBE
# density of states at the Fermi level = 0.640 states/eV per atom
data_Al2GeRu2
_chemical_formula_sum 'Al4 Ge2 Ru4'
_cell_length_a 6.825
_cell_length_b 6.825
_cell_length_c 3.222
_cell_angle_alpha 90.00
_cell_angle_beta 90.00
_cell_angle_gamma 90.00
_symmetry_space_group_name_H-M 'P 4/m b m'
_symmetry_Int_Tables_number 127
_symmetry_space_group_name_Hall '-P 4 2ab'
loop_
_atom_site_label
_atom_site_type_symbol
_atom_site_fract_x
_atom_site_fract_y
_atom_site_fract_z
_atom_site_occupancy
Al1 Al 0.139 0.361 0.000 1
Ge1 Ge 0.000 0.000 0.500 1
Ru1 Ru 0.161 0.661 0.500 1

b) # Al2GeRu2, optimized geometry, DFT GGA-PBE
# density of states at the Fermi level = 0.530 states/eV per atom
data_Al2GeRu2
_chemical_formula_sum 'Al4 Ge2 Ru4'
_cell_length_a 7.027
_cell_length_b 7.027
_cell_length_c 3.037
_cell_angle_alpha 90.00
_cell_angle_beta 90.00
_cell_angle_gamma 90.00
_symmetry_space_group_name_H-M 'P 4/m b m'
_symmetry_Int_Tables_number 127
_symmetry_space_group_name_Hall '-P 4 2ab'
loop_
_atom_site_label
_atom_site_type_symbol
_atom_site_fract_x
_atom_site_fract_y
_atom_site_fract_z
_atom_site_occupancy
Al1 Al 0.133 0.367 0.000 1
Ge1 Ge 0.000 0.000 0.000 1
Ru1 Ru 0.163 0.663 0.500 1

a) wins, 18.0 kJ/mol of atoms ahead of the next structure.

a) # Al3GeSb, optimized geometry, DFT GGA-PBE
# density of states at the Fermi level = 0.181 states/eV per atom
data_Al3GeSb
_chemical_formula_sum 'Al3 Ge1 Sb1'
_cell_length_a 4.910
_cell_length_b 4.910
_cell_length_c 4.910
_cell_angle_alpha 90.00
_cell_angle_beta 90.00
_cell_angle_gamma 90.00
_symmetry_space_group_name_H-M 'P m -3 m'
_symmetry_Int_Tables_number 221
_symmetry_space_group_name_Hall '-P 4 2 3'
loop_
_atom_site_label
_atom_site_type_symbol
_atom_site_fract_x
_atom_site_fract_y
_atom_site_fract_z
_atom_site_occupancy
Al1 Al 0.000 0.000 0.500 1
Ge1 Ge 0.000 0.000 0.000 1
Sb1 Sb 0.500 0.500 0.500 1

b) # Al3GeSb, optimized geometry, DFT GGA-PBE
# density of states at the Fermi level = 0.835 states/eV per atom
data_Al3GeSb
_chemical_formula_sum 'Al3 Ge1 Sb1'
_cell_length_a 5.237
_cell_length_b 5.237
_cell_length_c 5.237
_cell_angle_alpha 90.00
_cell_angle_beta 90.00
_cell_angle_gamma 90.00
_symmetry_space_group_name_H-M 'P m -3 m'
_symmetry_Int_Tables_number 221
_symmetry_space_group_name_Hall '-P 4 2 3'
loop_
_atom_site_label
_atom_site_type_symbol
_atom_site_fract_x
_atom_site_fract_y
_atom_site_fract_z
_atom_site_occupancy
Al1 Al 0.000 0.000 0.500 1
Ge1 Ge 0.500 0.500 0.500 1
Sb1 Sb 0.000 0.000 0.000 1

a) wins, 54.1 kJ/mol of atoms ahead of the next structure.

a) # Al2Ge2Sb, optimized geometry, DFT GGA-PBE
# density of states at the Fermi level = 0.394 states/eV per atom
data_Al2Ge2Sb
_chemical_formula_sum 'Al4 Ge4 Sb2'
_cell_length_a 8.107
_cell_length_b 8.107
_cell_length_c 3.069
_cell_angle_alpha 90.00
_cell_angle_beta 90.00
_cell_angle_gamma 90.00
_symmetry_space_group_name_H-M 'P 4/m b m'
_symmetry_Int_Tables_number 127
_symmetry_space_group_name_Hall '-P 4 2ab'
loop_
_atom_site_label
_atom_site_type_symbol
_atom_site_fract_x
_atom_site_fract_y
_atom_site_fract_z
_atom_site_occupancy
Al1 Al 0.139 0.361 0.000 1
Ge1 Ge 0.156 0.656 0.500 1
Sb1 Sb 0.000 0.000 0.500 1

b) # Al2Ge2Sb, optimized geometry, DFT GGA-PBE
# density of states at the Fermi level = 0.465 states/eV per atom
data_Al2Ge2Sb
_chemical_formula_sum 'Al4 Ge4 Sb2'
_cell_length_a 8.047
_cell_length_b 8.047
_cell_length_c 3.059
_cell_angle_alpha 90.00
_cell_angle_beta 90.00
_cell_angle_gamma 90.00
_symmetry_space_group_name_H-M 'P 4/m b m'
_symmetry_Int_Tables_number 127
_symmetry_space_group_name_Hall '-P 4 2ab'
loop_
_atom_site_label
_atom_site_type_symbol
_atom_site_fract_x
_atom_site_fract_y
_atom_site_fract_z
_atom_site_occupancy
Al1 Al 0.151 0.349 0.000 1
Ge1 Ge 0.144 0.644 0.500 1
Sb1 Sb 0.000 0.000 0.000 1

c) # Al2Ge2Sb, optimized geometry, DFT GGA-PBE
# density of states at the Fermi level = 0.468 states/eV per atom
data_Al2Ge2Sb
_chemical_formula_sum 'Al4 Ge4 Sb2'
_cell_length_a 3.994
_cell_length_b 3.994
_cell_length_c 12.853
_cell_angle_alpha 90.00
_cell_angle_beta 90.00
_cell_angle_gamma 90.00
_symmetry_space_group_name_H-M 'I 4/m m m'
_symmetry_Int_Tables_number 139
_symmetry_space_group_name_Hall '-I 4 2'
loop_
_atom_site_label
_atom_site_type_symbol
_atom_site_fract_x
_atom_site_fract_y
_atom_site_fract_z
_atom_site_occupancy
Al1 Al 0.000 0.000 0.103 1
Ge1 Ge 0.000 0.500 0.250 1
Sb1 Sb 0.000 0.000 0.500 1

b) wins, 2.1 kJ/mol of atoms ahead of the next structure.

a) # AlGeSb2Te, optimized geometry, DFT GGA-PBE
# density of states at the Fermi level = 0.720 states/eV per atom
data_AlGeSb2Te
_chemical_formula_sum 'Al1 Ge1 Sb2 Te1'
_cell_length_a 5.247
_cell_length_b 5.247
_cell_length_c 5.345
_cell_angle_alpha 90.00
_cell_angle_beta 90.00
_cell_angle_gamma 90.00
_symmetry_space_group_name_H-M 'P 4/m m m'
_symmetry_Int_Tables_number 123
_symmetry_space_group_name_Hall '-P 4 2'
loop_
_atom_site_label
_atom_site_type_symbol
_atom_site_fract_x
_atom_site_fract_y
_atom_site_fract_z
_atom_site_occupancy
Al1 Al 0.000 0.000 0.000 1
Ge1 Ge 0.500 0.500 0.500 1
Sb1 Sb 0.000 0.500 0.000 1
Te1 Te 0.000 0.000 0.500 1

b) # AlGeSb2Te, optimized geometry, DFT GGA-PBE
# density of states at the Fermi level = 0.883 states/eV per atom
data_AlGeSb2Te
_chemical_formula_sum 'Al1 Ge1 Sb2 Te1'
_cell_length_a 5.367
_cell_length_b 5.367
_cell_length_c 5.434
_cell_angle_alpha 90.00
_cell_angle_beta 90.00
_cell_angle_gamma 90.00
_symmetry_space_group_name_H-M 'P 4/m m m'
_symmetry_Int_Tables_number 123
_symmetry_space_group_name_Hall '-P 4 2'
loop_
_atom_site_label
_atom_site_type_symbol
_atom_site_fract_x
_atom_site_fract_y
_atom_site_fract_z
_atom_site_occupancy
Al1 Al 0.000 0.000 0.000 1
Ge1 Ge 0.500 0.500 0.500 1
Sb1 Sb 0.000 0.500 0.500 1
Te1 Te 0.500 0.500 0.000 1

a) wins, 9.6 kJ/mol of atoms ahead of the next structure.

a) # Sc2Al2Ge, optimized geometry, DFT GGA-PBE
# density of states at the Fermi level = 0.674 states/eV per atom
data_Sc2Al2Ge
_chemical_formula_sum 'Sc4 Al4 Ge2'
_cell_length_a 6.992
_cell_length_b 6.992
_cell_length_c 4.342
_cell_angle_alpha 90.00
_cell_angle_beta 90.00
_cell_angle_gamma 90.00
_symmetry_space_group_name_H-M 'P 4/m b m'
_symmetry_Int_Tables_number 127
_symmetry_space_group_name_Hall '-P 4 2ab'
loop_
_atom_site_label
_atom_site_type_symbol
_atom_site_fract_x
_atom_site_fract_y
_atom_site_fract_z
_atom_site_occupancy
Sc1 Sc 0.159 0.341 0.000 1
Al1 Al 0.140 0.640 0.500 1
Ge1 Ge 0.000 0.000 0.000 1

b) # Sc2Al2Ge, optimized geometry, DFT GGA-PBE
# density of states at the Fermi level = 0.435 states/eV per atom
data_Sc2Al2Ge
_chemical_formula_sum 'Sc4 Al4 Ge2'
_cell_length_a 6.730
_cell_length_b 6.730
_cell_length_c 4.285
_cell_angle_alpha 90.00
_cell_angle_beta 90.00
_cell_angle_gamma 90.00
_symmetry_space_group_name_H-M 'P 4/m b m'
_symmetry_Int_Tables_number 127
_symmetry_space_group_name_Hall '-P 4 2ab'
loop_
_atom_site_label
_atom_site_type_symbol
_atom_site_fract_x
_atom_site_fract_y
_atom_site_fract_z
_atom_site_occupancy
Sc1 Sc 0.168 0.332 0.000 1
Al1 Al 0.133 0.633 0.500 1
Ge1 Ge 0.000 0.000 0.500 1

b) wins, 19.2 kJ/mol of atoms ahead of the next structure.

a) # Sm4AlGe, optimized geometry, DFT GGA-PBE
# density of states at the Fermi level = 1.293 states/eV per atom
data_Sm4AlGe
_chemical_formula_sum 'Sm16 Al4 Ge4'
_cell_length_a 5.458
_cell_length_b 21.410
_cell_length_c 6.323
_cell_angle_alpha 90.00
_cell_angle_beta 90.00
_cell_angle_gamma 90.00
_symmetry_space_group_name_H-M 'C m c m'
_symmetry_Int_Tables_number 63
_symmetry_space_group_name_Hall '-C 2c 2'
loop_
_atom_site_label
_atom_site_type_symbol
_atom_site_fract_x
_atom_site_fract_y
_atom_site_fract_z
_atom_site_occupancy
Sm1 Sm 0.000 0.064 0.250 1
Sm2 Sm 0.000 0.206 0.004 1
Sm3 Sm 0.000 0.379 0.250 1
Al1 Al 0.000 0.075 0.750 1
Ge1 Ge 0.000 0.339 0.750 1

b) # Sm4AlGe, optimized geometry, DFT GGA-PBE
# density of states at the Fermi level = 1.202 states/eV per atom
data_Sm4AlGe
_chemical_formula_sum 'Sm64 Al16 Ge16'
_cell_length_a 13.975
_cell_length_b 13.975
_cell_length_c 13.975
_cell_angle_alpha 90.00
_cell_angle_beta 90.00
_cell_angle_gamma 90.00
_symmetry_space_group_name_H-M 'F -4 3 m'
_symmetry_Int_Tables_number 216
_symmetry_space_group_name_Hall 'F -4 2 3'
loop_
_atom_site_label
_atom_site_type_symbol
_atom_site_fract_x
_atom_site_fract_y
_atom_site_fract_z
_atom_site_occupancy
Sm1 Sm 0.000 0.000 0.186 1
Sm2 Sm 0.053 0.250 0.750 1
Sm3 Sm 0.110 0.110 0.390 1
Al1 Al 0.172 0.172 0.172 1
Ge1 Ge 0.106 0.106 0.606 1

b) wins, 24.9 kJ/mol of atoms ahead of the next structure.

a) # Sm3Al2Ge4, optimized geometry, DFT GGA-PBE
# density of states at the Fermi level = 0.383 states/eV per atom
data_Sm3Al2Ge4
_chemical_formula_sum 'Sm3 Al2 Ge4'
_cell_length_a 4.212
_cell_length_b 6.820
_cell_length_c 7.971
_cell_angle_alpha 69.17
_cell_angle_beta 74.69
_cell_angle_gamma 90.00
_symmetry_space_group_name_H-M 'P -1'
_symmetry_Int_Tables_number 2
_symmetry_space_group_name_Hall '-P 1'
loop_
_atom_site_label
_atom_site_type_symbol
_atom_site_fract_x
_atom_site_fract_y
_atom_site_fract_z
_atom_site_occupancy
Sm1 Sm 0.000 0.000 0.000 1
Sm2 Sm 0.137 0.582 0.727 1
Al1 Al 0.331 0.022 0.340 1
Ge1 Ge 0.208 0.218 0.581 1
Ge2 Ge 0.499 0.690 0.001 1

b) # Sm3Al2Ge4, optimized geometry, DFT GGA-PBE
# density of states at the Fermi level = 0.338 states/eV per atom
data_Sm3Al2Ge4
_chemical_formula_sum 'Sm6 Al4 Ge8'
_cell_length_a 11.288
_cell_length_b 4.262
_cell_length_c 8.801
_cell_angle_alpha 90.00
_cell_angle_beta 112.40
_cell_angle_gamma 90.00
_symmetry_space_group_name_H-M 'C 1 2/m 1'
_symmetry_Int_Tables_number 12
_symmetry_space_group_name_Hall '-C 2y'
loop_
_atom_site_label
_atom_site_type_symbol
_atom_site_fract_x
_atom_site_fract_y
_atom_site_fract_z
_atom_site_occupancy
Sm1 Sm 0.000 0.000 0.000 1
Sm2 Sm 0.122 0.500 0.694 1
Al1 Al 0.178 0.500 0.330 1
Ge1 Ge 0.092 0.000 0.405 1
Ge2 Ge 0.213 0.500 0.058 1

a) wins, 4.3 kJ/mol of atoms ahead of the next structure.

a) # AlSn2Ge2, optimized geometry, DFT GGA-PBE
# density of states at the Fermi level = 0.439 states/eV per atom
data_AlSn2Ge2
_chemical_formula_sum 'Al2 Sn4 Ge4'
_cell_length_a 6.699
_cell_length_b 6.699
_cell_length_c 5.168
_cell_angle_alpha 90.00
_cell_angle_beta 90.00
_cell_angle_gamma 90.00
_symmetry_space_group_name_H-M 'P 4/m b m'
_symmetry_Int_Tables_number 127
_symmetry_space_group_name_Hall '-P 4 2ab'
loop_
_atom_site_label
_atom_site_type_symbol
_atom_site_fract_x
_atom_site_fract_y
_atom_site_fract_z
_atom_site_occupancy
Al1 Al 0.000 0.000 0.000 1
Sn1 Sn 0.216 0.284 0.500 1
Ge1 Ge 0.134 0.634 0.000 1

b) # AlSn2Ge2, optimized geometry, DFT GGA-PBE
# density of states at the Fermi level = 0.391 states/eV per atom
data_AlSn2Ge2
_chemical_formula_sum 'Al2 Sn4 Ge4'
_cell_length_a 7.891
_cell_length_b 7.891
_cell_length_c 3.826
_cell_angle_alpha 90.00
_cell_angle_beta 90.00
_cell_angle_gamma 90.00
_symmetry_space_group_name_H-M 'P 4/m b m'
_symmetry_Int_Tables_number 127
_symmetry_space_group_name_Hall '-P 4 2ab'
loop_
_atom_site_label
_atom_site_type_symbol
_atom_site_fract_x
_atom_site_fract_y
_atom_site_fract_z
_atom_site_occupancy
Al1 Al 0.000 0.000 0.000 1
Sn1 Sn 0.162 0.338 0.000 1
Ge1 Ge 0.129 0.629 0.500 1

a) wins, 13.4 kJ/mol of atoms ahead of the next structure.